The following is a PBE+U calculation of a relaxed KCr3B4O12 crystal, from the Alexandria database.

Unit cell a=9.6421 b=9.6421 c=7.8213 alpha=90.00 beta=90.00 gamma=120.00
Space group R32 (No. 155, hexagonal axes)
Unique sites:
K (0.0000, 0.0000, 0.0000)
Cr (0.0000, 0.5556, 0.0000)
B (0.0000, 0.0000, 0.5000)
B (0.0000, 0.4434, 0.5000)
O (0.0000, 0.5874, 0.5000)
O (0.0000, 0.8552, 0.5000)
O (0.0310, 0.2279, 0.2001)

**Spin magnetization**: 21.0 μB/cell
**Energy**: -7.526 eV/atom